## MnV3 (SCAN)

Data for a crystal of MnV3 relaxed with PBEsol.

Output
Its density of states at the Fermi level is 16.88 states/eV/cell. The energy of formation comes out at -0.15 eV per atom.

Unit cell a=5.7765 b=5.7765 c=5.7765 alpha=90.00 beta=90.00 gamma=90.00
Last column: nearest neighbours and their distance in Å.
Space group Fm-3m (No. 225)
One atom of each set of equivalent atoms:
Mn 0.0000 0.0000 0.0000 [4 per cell]  8 V 2.50
V 0.0000 0.0000 0.5000 [4 per cell]  8 V 2.50
V 0.2500 0.2500 0.2500 [8 per cell]  4 Mn 2.50, 4 V 2.50


## MnW2 (SCAN)

Data for a crystal of MnW2 relaxed with PBEsol.

Output
Its density of states at the Fermi level is 3.08 states/eV/cell. The energy of formation comes out at 0.15 eV per atom.

Unit cell a=4.3121 b=4.3121 c=2.6542 alpha=90.00 beta=90.00 gamma=120.00
Last column: nearest neighbours and their distance in Å.
Space group P-3m1 (No. 164)
One atom of each set of equivalent atoms:
Mn 0.0000 0.0000 0.0000 [1 per cell]  6 W 2.64, 2 Mn 2.65
W 0.3333 0.6667 0.3264 [2 per cell]  3 Mn 2.64, 5 W 2.65


## MnW3 (SCAN)

Data for a crystal of MnW3 relaxed with PBEsol.

Output
Its density of states at the Fermi level is 4.65 states/eV/cell. The energy of formation comes out at 0.05 eV per atom.

Unit cell a=3.1401 b=4.3698 c=8.5081 alpha=90.00 beta=90.00 gamma=90.00
Last column: nearest neighbours and their distance in Å.
Space group Cmmm (No. 65)
One atom of each set of equivalent atoms:
Mn 0.0000 0.0000 0.0000 [2 per cell]  4 W 2.54, 4 Mn 2.69
W 0.0000 0.0000 0.5000 [2 per cell]  8 W 2.69-2.75
W 0.0000 0.5000 0.2353 [4 per cell]  2 Mn 2.54, 6 W 2.69-2.75


## MnW3 (SCAN)

Data for a crystal of MnW3 relaxed with PBEsol.

Output
Its density of states at the Fermi level is 3.78 states/eV/cell. The energy of formation comes out at 0.33 eV per atom.

Unit cell a=2.7265 b=2.7265 c=7.8270 alpha=90.00 beta=90.00 gamma=90.00
Last column: nearest neighbours and their distance in Å.
Space group P4/mmm (No. 123)
One atom of each set of equivalent atoms:
Mn 0.0000 0.0000 0.0000 [1 per cell]  8 W 2.56, 4 Mn 2.73
W 0.0000 0.0000 0.5000 [1 per cell]  12 W 2.73-2.95
W 0.5000 0.5000 0.2151 [2 per cell]  4 Mn 2.56, 4 W 2.73


## Mn5W (SCAN)

Data for a crystal of Mn5W relaxed with PBEsol.

Output
Its density of states at the Fermi level is 14.13 states/eV/cell. The energy of formation comes out at 0.03 eV per atom.

Unit cell a=6.4952 b=6.4952 c=6.4952 alpha=90.00 beta=90.00 gamma=90.00
Last column: nearest neighbours and their distance in Å.
Space group F-43m (No. 216)
One atom of each set of equivalent atoms:
Mn 0.0000 0.0000 0.0000 [4 per cell]  12 Mn 2.69, 4 W 2.81
Mn 0.1265 0.1265 0.3735 [16 per cell]  6 Mn 2.27-2.32
W 0.2500 0.2500 0.7500 [4 per cell]  16 Mn 2.70-2.81


## Mn3W2 (SCAN)

Data for a crystal of Mn3W2 relaxed with PBEsol.

Output
Its density of states at the Fermi level is 3.50 states/eV/cell. The energy of formation comes out at 0.54 eV per atom.

Unit cell a=4.0715 b=4.0715 c=4.9532 alpha=90.00 beta=90.00 gamma=120.00
Last column: nearest neighbours and their distance in Å.
Space group P-3m1 (No. 164)
One atom of each set of equivalent atoms:
Mn 0.0000 0.0000 0.0000 [1 per cell]  6 W 2.52
Mn 0.3333 0.6667 0.3306 [2 per cell]  5 W 2.40-2.55
W 0.3333 0.6667 0.8149 [2 per cell]  8 Mn 2.40-2.55


## MnW2 (SCAN)

Data for a crystal of MnW2 relaxed with PBEsol.

Output
Its density of states at the Fermi level is 2.74 states/eV/cell. The energy of formation comes out at 0.86 eV per atom.

Unit cell a=4.0495 b=4.0495 c=2.8770 alpha=90.00 beta=90.00 gamma=90.00
Last column: nearest neighbours and their distance in Å.
Space group P4/mmm (No. 123)
One atom of each set of equivalent atoms:
Mn 0.0000 0.0000 0.0000 [1 per cell]  8 W 2.48
W 0.0000 0.5000 0.5000 [2 per cell]  4 Mn 2.48


## YMnW (SCAN)

Data for a crystal of YMnW relaxed with PBEsol.

Output
Its density of states at the Fermi level is 13.93 states/eV/cell. The energy of formation comes out at 0.85 eV per atom.

Unit cell a=6.0748 b=6.0748 c=6.0748 alpha=90.00 beta=90.00 gamma=90.00
Last column: nearest neighbours and their distance in Å.
Space group F-43m (No. 216)
One atom of each set of equivalent atoms:
Y 0.0000 0.0000 0.0000 [4 per cell]  4 Mn 2.63
Mn 0.2500 0.2500 0.7500 [4 per cell]  4 W 2.63, 4 Y 2.63
W 0.0000 0.0000 0.5000 [4 per cell]  4 Mn 2.63